## CsTi3Zn (PBE)

Data for a geometry-optimized CsTi3Zn structure.

a b c (Å): 4.9502 4.9502 4.9502
angles (deg): 90.00 90.00 90.00
With the nearest neighbours (Å) after each atom.
Fractional coordinates of all 5 atoms:
Cs: 0.0000 0.0000 0.0000  6 Ti 2.48
Zn: 0.5000 0.5000 0.5000  12 Ti 3.50
Ti: 0.0000 0.5000 0.0000  2 Cs 2.48
Ti: 0.0000 0.0000 0.5000  2 Cs 2.48
Ti: 0.5000 0.0000 0.0000  2 Cs 2.48

Calculated values
**Calculated total energy**: -3.14 eV/atom
**Offset from the most stable computed form**: 81.2 kJ per mole of atoms
**ΔH_f (0 K)**: 2.025 eV/atom